1.
# PBE Sm4AgIr, relaxed
data_Sm4AgIr
_chemical_formula_sum 'Sm64 Ag16 Ir16'
_cell_length_a 13.796
_cell_length_b 13.796
_cell_length_c 13.796
_cell_angle_alpha 90.00
_cell_angle_beta 90.00
_cell_angle_gamma 90.00
_space_group_name_H-M_alt 'F -4 3 m'
_space_group_IT_number 216
_space_group_name_Hall 'F -4 2 3'
loop_
_atom_site_label
_atom_site_type_symbol
_atom_site_fract_x
_atom_site_fract_y
_atom_site_fract_z
Sm1 Sm 0.000 0.000 0.188
Sm2 Sm 0.060 0.250 0.750
Sm3 Sm 0.101 0.101 0.399
Ag1 Ag 0.169 0.169 0.169
Ir1 Ir 0.108 0.108 0.608
# DFT total energy   -5.5287 eV/atom
# Density of states at the Fermi level   0.93 states/eV/atom

=====

2.
# PBE Sm3AgIr, relaxed
data_Sm3AgIr
_chemical_formula_sum 'Sm12 Ag4 Ir4'
_cell_length_a 7.414
_cell_length_b 4.745
_cell_length_c 15.397
_cell_angle_alpha 90.00
_cell_angle_beta 90.00
_cell_angle_gamma 90.00
_space_group_name_H-M_alt 'P n m a'
_space_group_IT_number 62
loop_
_space_group_symop_operation_xyz
'x,y,z'
'-x,-y,-z'
'-x+1/2,-y,z+1/2'
'x+1/2,y,-z+1/2'
'x+1/2,-y+1/2,-z+1/2'
'-x+1/2,y+1/2,z+1/2'
'-x,y+1/2,-z'
'x,-y+1/2,z'
loop_
_atom_site_label
_atom_site_type_symbol
_atom_site_fract_x
_atom_site_fract_y
_atom_site_fract_z
Sm1 Sm 0.013 0.250 0.100
Sm2 Sm 0.134 0.750 0.451
Sm3 Sm 0.183 0.250 0.721
Ag1 Ag 0.103 0.250 0.313
Ir1 Ir 0.231 0.750 0.045
# DFT total energy   -5.6386 eV/atom
# Density of states at the Fermi level   0.79 states/eV/atom

=====

3.
# PBE Sm4AgIr3, relaxed
data_Sm4AgIr3
_chemical_formula_sum 'Sm12 Ag3 Ir9'
_cell_length_a 5.0092
_cell_length_b 5.0092
_cell_length_c 24.6311
_cell_angle_alpha 90.00
_cell_angle_beta 90.00
_cell_angle_gamma 120.00
_space_group_name_H-M_alt 'R -3 m'
_space_group_IT_number 166
_space_group_name_Hall '-R 3 2"'
loop_
_atom_site_label
_atom_site_type_symbol
_atom_site_fract_x
_atom_site_fract_y
_atom_site_fract_z
Sm1 Sm 0.0000 0.0000 0.1212
Sm2 Sm 0.0000 0.0000 0.3720
Ag1 Ag 0.0000 0.0000 0.5000
Ir1 Ir 0.0000 0.0000 0.0000
Ir2 Ir 0.0000 0.0000 0.2484
# DFT total energy   -6.6364 eV/atom
# Density of states at the Fermi level   0.54 states/eV/atom

=====

4.
# PBE Sm5Ag4Ir, relaxed
data_Sm5Ag4Ir
_chemical_formula_sum 'Sm5 Ag4 Ir1'
_cell_length_a 3.637
_cell_length_b 3.637
_cell_length_c 18.699
_cell_angle_alpha 90.00
_cell_angle_beta 90.00
_cell_angle_gamma 90.00
_space_group_name_H-M_alt 'P 4/m m m'
_space_group_IT_number 123
_space_group_name_Hall '-P 4 2'
loop_
_atom_site_label
_atom_site_type_symbol
_atom_site_fract_x
_atom_site_fract_y
_atom_site_fract_z
Sm1 Sm 0.000 0.000 0.000
Sm2 Sm 0.000 0.000 0.205
Sm3 Sm 0.000 0.000 0.412
Ag1 Ag 0.500 0.500 0.102
Ag2 Ag 0.500 0.500 0.304
Ir1 Ir 0.500 0.500 0.500
# DFT total energy   -4.7490 eV/atom
# Density of states at the Fermi level   0.78 states/eV/atom